No. 1
First-principles (PBE) data for a relaxed structure of YSnTe3, as listed in the Alexandria database. Values from VASP.

Computed properties:
- energy relative to the lowest polymorph listed for this composition (meV per atom) = 0
- calculated total energy (eV for the cell shown) = -47.5
- raw formation energy (meV/atom) = -771.3

Geometry as Quantum ESPRESSO input:
```
&SYSTEM
  ibrav = 0, nat = 10, ntyp = 3
/
ATOMIC_SPECIES
Y 88.91 Y.upf
Sn 118.71 Sn.upf
Te 127.60 Te.upf
ATOMIC_POSITIONS angstrom
Y 3.600 0.000 1.976
Y 13.078 0.000 5.978
Sn 7.872 0.000 2.405
Sn 8.805 0.000 5.550
Te 0.329 0.000 1.394
Te 1.983 0.000 4.613
Te 6.201 0.000 0.055
Te 10.476 0.000 7.900
Te 14.694 0.000 3.341
Te 16.348 0.000 6.561
CELL_PARAMETERS angstrom
9.364 -2.288 0.000
9.364 2.288 0.000
-2.051 0.000 7.955
```

No. 2
First-principles (PBE) data for a relaxed structure of Y10Sn3Te3, as listed in the Alexandria database. Values from VASP.

Computed properties:
- calculated total energy (eV for the cell shown) = -100.2
- raw formation energy (meV/atom) = -883.0

Geometry as Quantum ESPRESSO input:
```
&SYSTEM
  ibrav = 0, nat = 16, ntyp = 3
/
ATOMIC_SPECIES
Y 88.91 Y.upf
Sn 118.71 Sn.upf
Te 127.60 Te.upf
ATOMIC_POSITIONS angstrom
Y -1.107 1.917 0.000
Y -3.396 5.882 3.169
Y 2.214 0.000 0.000
Y 1.117 1.934 3.169
Y 0.000 5.211 1.576
Y 0.000 5.211 4.761
Y 4.513 2.606 1.576
Y 4.513 2.606 4.761
Y 6.793 0.000 3.169
Y 3.406 5.900 0.000
Sn -2.753 4.768 0.000
Sn 1.760 3.049 0.000
Sn 5.505 0.000 0.000
Te -1.745 3.022 3.169
Te 3.489 0.000 3.169
Te 2.768 4.795 3.169
CELL_PARAMETERS angstrom
9.026 0.000 0.000
-4.513 7.817 0.000
0.000 0.000 6.337
```

No. 3
First-principles (PBE) data for a relaxed structure of ZnSn2Te, as listed in the Alexandria database. Values from VASP.

Computed properties:
- energy relative to the lowest polymorph listed for this composition (meV per atom) = 0
- calculated total energy (eV for the cell shown) = -24.6
- raw formation energy (meV/atom) = 35.9

Geometry as Quantum ESPRESSO input:
```
&SYSTEM
  ibrav = 0, nat = 8, ntyp = 3
/
ATOMIC_SPECIES
Zn 65.41 Zn.upf
Sn 118.71 Sn.upf
Te 127.60 Te.upf
ATOMIC_POSITIONS angstrom
Zn 0.000 0.000 0.000
Zn 0.000 3.221 3.290
Sn 4.831 1.301 -1.645
Sn 1.301 1.610 1.645
Sn -1.610 1.919 4.935
Sn 1.919 1.610 8.225
Te 3.221 0.000 3.290
Te 0.000 0.000 6.580
CELL_PARAMETERS angstrom
-3.221 3.221 6.580
3.221 -3.221 6.580
3.221 3.221 -6.580
```

No. 4
First-principles (PBE) data for a relaxed structure of Zn2Sn2Te, as listed in the Alexandria database. Values from VASP.

Computed properties:
- energy relative to the lowest polymorph listed for this composition (meV per atom) = 0
- calculated total energy (eV for the cell shown) = -13.3
- raw formation energy (meV/atom) = 86.6

Geometry as Quantum ESPRESSO input:
```
&SYSTEM
  ibrav = 0, nat = 5, ntyp = 3
/
ATOMIC_SPECIES
Zn 65.41 Zn.upf
Sn 118.71 Sn.upf
Te 127.60 Te.upf
ATOMIC_POSITIONS angstrom
Zn 1.943 0.000 4.049
Zn 0.000 1.943 4.049
Sn 0.000 0.000 1.793
Sn 0.000 0.000 14.402
Te 0.000 0.000 8.097
CELL_PARAMETERS angstrom
-1.943 1.943 8.097
1.943 -1.943 8.097
1.943 1.943 -8.097
```

No. 5
First-principles (PBE) data for a relaxed structure of Zn2Sn2Te, as listed in the Alexandria database. Values from VASP.

Computed properties:
- energy relative to the lowest polymorph listed for this composition (meV per atom) = 6
- calculated total energy (eV for the cell shown) = -26.5
- raw formation energy (meV/atom) = 92.4

Geometry as Quantum ESPRESSO input:
```
&SYSTEM
  ibrav = 0, nat = 10, ntyp = 3
/
ATOMIC_SPECIES
Zn 65.41 Zn.upf
Sn 118.71 Sn.upf
Te 127.60 Te.upf
ATOMIC_POSITIONS angstrom
Zn 0.928 3.479 0.000
Zn 3.479 7.885 0.000
Zn 5.335 0.928 0.000
Zn 7.885 5.335 0.000
Sn 1.713 6.120 1.593
Sn 2.693 1.713 1.593
Sn 6.120 7.100 1.593
Sn 7.100 2.693 1.593
Te 0.000 0.000 1.593
Te 4.407 4.407 1.593
CELL_PARAMETERS angstrom
8.814 0.000 0.000
0.000 8.814 0.000
0.000 0.000 3.186
```

No. 6
First-principles (PBE) data for a relaxed structure of ZnSnTe3, as listed in the Alexandria database. Values from VASP.

Computed properties:
- energy relative to the lowest polymorph listed for this composition (meV per atom) = 299
- calculated total energy (eV for the cell shown) = -12.1
- raw formation energy (meV/atom) = 519.9

Geometry as Quantum ESPRESSO input:
```
&SYSTEM
  ibrav = 0, nat = 5, ntyp = 3
/
ATOMIC_SPECIES
Zn 65.41 Zn.upf
Sn 118.71 Sn.upf
Te 127.60 Te.upf
ATOMIC_POSITIONS angstrom
Zn 0.000 0.000 0.000
Sn 2.865 2.865 2.865
Te 0.000 2.865 2.865
Te 2.865 0.000 2.865
Te 2.865 2.865 0.000
CELL_PARAMETERS angstrom
5.731 0.000 0.000
0.000 5.731 0.000
0.000 0.000 5.731
```

No. 7
First-principles (PBE) data for a relaxed structure of ZnSn2Te, as listed in the Alexandria database. Values from VASP.

Computed properties:
- energy relative to the lowest polymorph listed for this composition (meV per atom) = 122
- calculated total energy (eV for the cell shown) = -11.8
- raw formation energy (meV/atom) = 157.9

Geometry as Quantum ESPRESSO input:
```
&SYSTEM
  ibrav = 0, nat = 4, ntyp = 3
/
ATOMIC_SPECIES
Zn 65.41 Zn.upf
Sn 118.71 Sn.upf
Te 127.60 Te.upf
ATOMIC_POSITIONS angstrom
Zn 0.000 0.000 0.000
Sn 1.884 1.884 1.884
Sn 5.651 5.651 5.651
Te 3.767 3.767 3.767
CELL_PARAMETERS angstrom
0.000 3.767 3.767
3.767 0.000 3.767
3.767 3.767 0.000
```

No. 8
First-principles (PBE) data for a relaxed structure of ZnSnTe2, as listed in the Alexandria database. Values from VASP.

Computed properties:
- energy relative to the lowest polymorph listed for this composition (meV per atom) = 288
- calculated total energy (eV for the cell shown) = -11.2
- raw formation energy (meV/atom) = 83.2

Geometry as Quantum ESPRESSO input:
```
&SYSTEM
  ibrav = 0, nat = 4, ntyp = 3
/
ATOMIC_SPECIES
Zn 65.41 Zn.upf
Sn 118.71 Sn.upf
Te 127.60 Te.upf
ATOMIC_POSITIONS angstrom
Zn 0.000 0.000 0.000
Sn 3.761 3.761 3.761
Te 1.881 1.881 1.881
Te 5.642 5.642 5.642
CELL_PARAMETERS angstrom
0.000 3.761 3.761
3.761 0.000 3.761
3.761 3.761 0.000
```

No. 9
First-principles (PBE) data for a relaxed structure of ZnSnTe2, as listed in the Alexandria database. Values from VASP.

Computed properties:
- energy relative to the lowest polymorph listed for this composition (meV per atom) = 425
- calculated total energy (eV for the cell shown) = -10.7
- raw formation energy (meV/atom) = 219.8

Geometry as Quantum ESPRESSO input:
```
&SYSTEM
  ibrav = 0, nat = 4, ntyp = 3
/
ATOMIC_SPECIES
Zn 65.41 Zn.upf
Sn 118.71 Sn.upf
Te 127.60 Te.upf
ATOMIC_POSITIONS angstrom
Zn 0.000 0.000 0.000
Sn 0.000 0.000 17.194
Te 0.000 0.000 2.751
Te 0.000 0.000 31.636
CELL_PARAMETERS angstrom
1.668 0.963 11.463
-1.668 0.963 11.463
0.000 -1.926 11.463
```

No. 10
First-principles (PBE) data for a relaxed structure of ZnSnTe3, as listed in the Alexandria database. Values from VASP.

Computed properties:
- energy relative to the lowest polymorph listed for this composition (meV per atom) = 0
- calculated total energy (eV for the cell shown) = -13.6
- raw formation energy (meV/atom) = 220.7

Geometry as Quantum ESPRESSO input:
```
&SYSTEM
  ibrav = 0, nat = 5, ntyp = 3
/
ATOMIC_SPECIES
Zn 65.41 Zn.upf
Sn 118.71 Sn.upf
Te 127.60 Te.upf
ATOMIC_POSITIONS angstrom
Zn 0.000 0.000 0.000
Sn 2.665 2.665 2.665
Te 0.000 0.000 2.665
Te 0.000 2.665 0.000
Te 2.665 0.000 0.000
CELL_PARAMETERS angstrom
5.330 0.000 0.000
0.000 5.330 0.000
0.000 0.000 5.330
```

No. 11
First-principles (PBE) data for a relaxed structure of ZnSnTe, as listed in the Alexandria database. Values from VASP.

Computed properties:
- calculated total energy (eV for the cell shown) = -34.2
- raw formation energy (meV/atom) = -43.8

Geometry as Quantum ESPRESSO input:
```
&SYSTEM
  ibrav = 0, nat = 12, ntyp = 3
/
ATOMIC_SPECIES
Zn 65.41 Zn.upf
Sn 118.71 Sn.upf
Te 127.60 Te.upf
ATOMIC_POSITIONS angstrom
Zn 0.000 2.426 7.707
Zn 0.000 2.426 11.206
Zn 2.101 1.213 12.604
Zn 2.101 1.213 16.103
Sn 0.000 2.426 3.512
Sn 0.000 2.426 14.042
Sn 2.101 1.213 9.768
Sn 2.101 1.213 20.298
Te 0.000 2.426 17.285
Te 0.000 2.426 21.985
Te 2.101 1.213 1.824
Te 2.101 1.213 6.524
CELL_PARAMETERS angstrom
4.202 0.000 0.000
-2.101 3.639 0.000
0.000 0.000 23.810
```

No. 12
First-principles (PBE) data for a relaxed structure of Zn2Sn2Te, as listed in the Alexandria database. Values from VASP.

Computed properties:
- energy relative to the lowest polymorph listed for this composition (meV per atom) = 43
- calculated total energy (eV for the cell shown) = -26.1
- raw formation energy (meV/atom) = 129.7

Geometry as Quantum ESPRESSO input:
```
&SYSTEM
  ibrav = 0, nat = 10, ntyp = 3
/
ATOMIC_SPECIES
Zn 65.41 Zn.upf
Sn 118.71 Sn.upf
Te 127.60 Te.upf
ATOMIC_POSITIONS angstrom
Zn 1.346 2.808 0.000
Zn 2.808 6.962 0.000
Zn 5.500 1.346 0.000
Zn 6.962 5.500 0.000
Sn 1.126 5.280 1.717
Sn 3.028 1.126 1.717
Sn 5.280 7.182 1.717
Sn 7.182 3.028 1.717
Te 0.000 0.000 0.000
Te 4.154 4.154 0.000
CELL_PARAMETERS angstrom
8.308 0.000 0.000
0.000 8.308 0.000
0.000 0.000 3.433
```